First-principles (PBE) data for a relaxed structure of La4CCl, as listed in Alexandria.

The structure in POSCAR format:
```
La4CCl
1.0
4.034 -7.862 0.000
4.034 7.862 0.000
-3.703 0.000 5.676
La C Cl
8 2 2
Direct
0.029 0.389 0.735
0.144 0.271 0.208
0.271 0.144 0.708
0.389 0.029 0.235
0.611 0.971 0.765
0.729 0.856 0.292
0.856 0.729 0.792
0.971 0.611 0.265
0.062 0.938 0.250
0.938 0.062 0.750
0.438 0.562 0.750
0.562 0.438 0.250
```

Uncorrected energy   -34.27 eV/f.u.
Space group   C2/c
Volume   30.00 A^3/atom
Formation energy without anion corrections   -0.582 eV/atom

=====

First-principles (PBE) data for a relaxed structure of Ga2AgAu7, as listed in Alexandria.

The structure in POSCAR format:
```
Ga2AgAu7
1.0
-2.114 2.114 10.582
2.114 -2.114 10.582
2.114 2.114 -10.582
Ga Ag Au
2 1 7
Direct
0.173 0.173 0.000
0.827 0.827 0.000
0.500 0.500 0.000
0.000 0.000 0.000
0.098 0.598 0.500
0.250 0.750 0.500
0.402 0.902 0.500
0.598 0.098 0.500
0.750 0.250 0.500
0.902 0.402 0.500
```

Uncorrected energy   -32.70 eV/f.u.
Space group   I4/mmm
Polymorph energy (0 for the lowest one)   0.0 meV/atom
Formation enthalpy at 0 K   -0.09 eV per atom
Volume   18.91 A^3/atom

=====

First-principles (PBE) data for a relaxed structure of KTa6S12, as listed in Alexandria.

The structure in POSCAR format:
```
KTa6S12
1.0
5.960 3.441 3.077
-5.960 3.441 3.077
0.000 -6.882 3.077
K Ta S
1 6 12
Direct
0.000 0.000 0.000
0.248 0.248 0.633
0.248 0.633 0.248
0.367 0.752 0.752
0.633 0.248 0.248
0.752 0.367 0.752
0.752 0.752 0.367
0.126 0.500 0.874
0.126 0.874 0.500
0.175 0.458 0.458
0.458 0.175 0.458
0.458 0.458 0.175
0.500 0.126 0.874
0.500 0.874 0.126
0.542 0.542 0.825
0.542 0.825 0.542
0.825 0.542 0.542
0.874 0.126 0.500
0.874 0.500 0.126
```

Uncorrected energy   -133.48 eV/f.u.
Space group   R-3m
Volume   19.93 A^3/atom
Formation energy without anion corrections   -0.618 eV/atom

=====

- Which of these has the lowest uncorrected energy?
  KTa6S12

=====

- Which formula does entry 3 have?
  KTa6S12

=====

Repeat the second record exactly.
First-principles (PBE) data for a relaxed structure of Ga2AgAu7, as listed in Alexandria.

The structure in POSCAR format:
```
Ga2AgAu7
1.0
-2.114 2.114 10.582
2.114 -2.114 10.582
2.114 2.114 -10.582
Ga Ag Au
2 1 7
Direct
0.173 0.173 0.000
0.827 0.827 0.000
0.500 0.500 0.000
0.000 0.000 0.000
0.098 0.598 0.500
0.250 0.750 0.500
0.402 0.902 0.500
0.598 0.098 0.500
0.750 0.250 0.500
0.902 0.402 0.500
```

Uncorrected energy   -32.70 eV/f.u.
Space group   I4/mmm
Polymorph energy (0 for the lowest one)   0.0 meV/atom
Formation enthalpy at 0 K   -0.09 eV per atom
Volume   18.91 A^3/atom